[1]
Computed, not measured: a relaxed NdSeO crystal at the PBE-GGA level of DFT.

The total magnetization comes out at 0.00 μB/cell. For the total energy, the calculation gives -6.870 eV per atom. The calculation puts the uncorrected formation energy at -2467 meV per atom.

The space group is C2/m (No. 12) and the conventional cell measures 5.747, 5.747 and 8.364 Å, with angles of 90.00, 109.98 and 90.00 degrees. The inequivalent atoms are Nd at (0.174, 0.000, 0.347), Se at (0.077, 0.500, 0.152) and O at (0.000, 0.250, 0.500).

=====

[2]
Computed, not measured: a relaxed NdSeO5 crystal at the PBE-GGA level of DFT.

The total magnetization comes out at 2.01 μB/cell. For the total energy, the calculation gives -6.143 eV per atom. The calculation puts the uncorrected formation energy at -1422 meV per atom.

The space group is P4/nmm (No. 129, origin choice 2) and the conventional cell measures 7.435, 7.435 and 4.680 Å, with angles of 90.00, 90.00 and 90.00 degrees. The inequivalent atoms are Nd at (0.250, 0.250, 0.238), Se at (0.250, 0.750, 0.000), O at (0.068, 0.750, 0.793) and O at (0.250, 0.250, 0.736).

=====

[3]
Computed, not measured: a relaxed NdSeO crystal at the PBE-GGA level of DFT.

The total magnetization comes out at 0.00 μB/cell. For the total energy, the calculation gives -6.460 eV per atom. The calculation puts the uncorrected formation energy at -2057 meV per atom.

The space group is Pbam (No. 55) and the conventional cell measures 6.655, 12.124 and 3.459 Å, with angles of 90.00, 90.00 and 90.00 degrees. The inequivalent atoms are Nd at (0.225, 0.226, 0.000), Se at (0.177, 0.984, 0.000) and O at (0.020, 0.737, 0.500).

=====

[4]
Computed, not measured: a relaxed NdSe2O6 crystal at the PBE-GGA level of DFT.

The total magnetization comes out at 3.13 μB/cell. For the total energy, the calculation gives -6.043 eV per atom. The calculation puts the uncorrected formation energy at -1433 meV per atom.

The space group is C2/c (No. 15) and the conventional cell measures 10.833, 8.430 and 7.245 Å, with angles of 90.00, 122.37 and 90.00 degrees. The inequivalent atoms are Nd at (0.000, 0.146, 0.250), Se at (0.184, 0.469, 0.248), O at (0.105, 0.313, 0.076), O at (0.130, 0.047, 0.640) and O at (0.184, 0.377, 0.472).

=====

[5]
Computed, not measured: a relaxed NdSeO3 crystal at the PBE-GGA level of DFT.

The total magnetization comes out at 0.00 μB/cell. For the total energy, the calculation gives -6.529 eV per atom. The calculation puts the uncorrected formation energy at -1904 meV per atom.

The space group is P2_1/c (No. 14) and the conventional cell measures 6.105, 7.243 and 7.949 Å, with angles of 90.00, 116.33 and 90.00 degrees. The inequivalent atoms are Nd at (0.131, 0.126, 0.373), Se at (0.374, 0.641, 0.617), O at (0.003, 0.169, 0.607), O at (0.245, 0.032, 0.955) and O at (0.480, 0.527, 0.834).

=====

[6]
Computed, not measured: a relaxed Nd2SeO crystal at the PBE-GGA level of DFT.

The total magnetization comes out at 0.00 μB/cell. For the total energy, the calculation gives -6.701 eV per atom. The calculation puts the uncorrected formation energy at -2207 meV per atom.

The space group is R-3m (No. 166, hexagonal axes) and the conventional cell measures 3.8351, 3.8351 and 19.9303 Å, with angles of 90.00, 90.00 and 120.00 degrees. The inequivalent atoms are Nd at (0.0000, 0.0000, 0.2325), Se at (0.0000, 0.0000, 0.0000) and O at (0.0000, 0.0000, 0.5000).

=====

[7]
Computed, not measured: a relaxed NdSeO crystal at the PBE-GGA level of DFT.

The total magnetization comes out at 0.00 μB/cell. For the total energy, the calculation gives -6.890 eV per atom. The calculation puts the uncorrected formation energy at -2487 meV per atom.

The space group is Cmce (No. 64) and the conventional cell measures 13.431, 6.008 and 6.002 Å, with angles of 90.00, 90.00 and 90.00 degrees. The inequivalent atoms are Nd at (0.168, 0.000, 0.000), Se at (0.000, 0.142, 0.357) and O at (0.250, 0.244, 0.750).

=====

[8]
Computed, not measured: a relaxed Nd2SeO crystal at the PBE-GGA level of DFT.

The total magnetization comes out at 0.00 μB/cell. For the total energy, the calculation gives -6.460 eV per atom. The calculation puts the uncorrected formation energy at -1965 meV per atom.

The space group is R3m (No. 160, hexagonal axes) and the conventional cell measures 3.7297, 3.7297 and 21.4271 Å, with angles of 90.00, 90.00 and 120.00 degrees. The inequivalent atoms are Nd at (0.0000, 0.0000, 0.0000), Nd at (0.0000, 0.0000, 0.1497), Se at (0.0000, 0.0000, 0.5748) and O at (0.0000, 0.0000, 0.7448).

=====

[9]
Computed, not measured: a relaxed Nd2Se3O9 crystal at the PBE-GGA level of DFT.

The total magnetization comes out at 0.00 μB/cell. For the total energy, the calculation gives -6.454 eV per atom. The calculation puts the uncorrected formation energy at -1839 meV per atom.

The space group is Pnma (No. 62) and the conventional cell measures 8.472, 14.246 and 7.053 Å, with angles of 90.00, 90.00 and 90.00 degrees. The inequivalent atoms are Nd at (0.203, 0.063, 0.181), Se at (0.039, 0.750, 0.904), Se at (0.050, 0.125, 0.679), O at (0.052, 0.653, 0.757), O at (0.077, 0.040, 0.854), O at (0.118, 0.574, 0.409), O at (0.164, 0.250, 0.072) and O at (0.205, 0.096, 0.531).

=====

[10]
Computed, not measured: a relaxed NdSeO4 crystal at the PBE-GGA level of DFT.

The total magnetization comes out at 0.00 μB/cell. For the total energy, the calculation gives -6.561 eV per atom. The calculation puts the uncorrected formation energy at -1880 meV per atom.

The space group is P1 (No. 1) and the conventional cell measures 6.037, 6.037 and 6.744 Å, with angles of 65.14, 65.15 and 76.68 degrees. The inequivalent atoms are Nd at (0.000, 0.000, 0.000), Nd at (0.499, 0.499, 0.711), Se at (0.044, 0.045, 0.477), Se at (0.517, 0.517, 0.197), O at (0.170, 0.825, 0.679), O at (0.238, 0.239, 0.963), O at (0.350, 0.691, 0.033), O at (0.355, 0.356, 0.473), O at (0.680, 0.679, 0.233), O at (0.690, 0.349, 0.034), O at (0.824, 0.170, 0.680) and O at (0.879, 0.879, 0.435).

=====

[11]
Computed, not measured: a relaxed Nd2Se2O crystal at the PBE-GGA level of DFT.

The total magnetization comes out at 0.00 μB/cell. For the total energy, the calculation gives -6.707 eV per atom. The calculation puts the uncorrected formation energy at -2415 meV per atom.

The space group is Ibam (No. 72) and the conventional cell measures 6.856, 11.621 and 5.956 Å, with angles of 90.00, 90.00 and 90.00 degrees. The inequivalent atoms are Nd at (0.205, 0.103, 0.000), Se at (0.150, 0.356, 0.000) and O at (0.000, 0.000, 0.250).

=====

[12]
Computed, not measured: a relaxed Nd5Se4O crystal at the PBE-GGA level of DFT.

The total magnetization comes out at 0.00 μB/cell. For the total energy, the calculation gives -6.190 eV per atom. The calculation puts the uncorrected formation energy at -1916 meV per atom.

The space group is I4/mmm (No. 139) and the conventional cell measures 4.127, 4.127 and 29.475 Å, with angles of 90.00, 90.00 and 90.00 degrees. The inequivalent atoms are Nd at (0.000, 0.000, 0.000), Nd at (0.000, 0.000, 0.205), Nd at (0.000, 0.000, 0.420), Se at (0.000, 0.000, 0.101), Se at (0.000, 0.000, 0.308) and O at (0.000, 0.000, 0.500).

=====

[13]
Computed, not measured: a relaxed Nd2SeO crystal at the PBE-GGA level of DFT.

The total magnetization comes out at 0.00 μB/cell. For the total energy, the calculation gives -6.456 eV per atom. The calculation puts the uncorrected formation energy at -1962 meV per atom.

The space group is P2_1/c (No. 14) and the conventional cell measures 7.998, 6.450 and 6.757 Å, with angles of 90.00, 92.48 and 90.00 degrees. The inequivalent atoms are Nd at (0.092, 0.241, 0.466), Nd at (0.326, 0.741, 0.495), Se at (0.380, 0.121, 0.737) and O at (0.125, 0.579, 0.746).

=====

[14]
Computed, not measured: a relaxed Nd2Se2O crystal at the PBE-GGA level of DFT.

The total magnetization comes out at 0.00 μB/cell. For the total energy, the calculation gives -6.690 eV per atom. The calculation puts the uncorrected formation energy at -2398 meV per atom.

The space group is Cmc2_1 (No. 36) and the conventional cell measures 4.101, 15.489 and 7.592 Å, with angles of 90.00, 90.00 and 90.00 degrees. The inequivalent atoms are Nd at (0.000, 0.052, 0.000), Nd at (0.000, 0.342, 0.118), Se at (0.000, 0.295, 0.488), Se at (0.000, 0.452, 0.804) and O at (0.000, 0.091, 0.672).

=====

[15]
Computed, not measured: a relaxed Nd3Se3O crystal at the PBE-GGA level of DFT.

The total magnetization comes out at 0.00 μB/cell. For the total energy, the calculation gives -6.368 eV per atom. The calculation puts the uncorrected formation energy at -2123 meV per atom.

The space group is C2/m (No. 12) and the conventional cell measures 8.295, 12.203 and 7.227 Å, with angles of 90.00, 99.95 and 90.00 degrees. The inequivalent atoms are Nd at (0.095, 0.000, 0.311), Nd at (0.185, 0.351, 0.212), Se at (0.000, 0.162, 0.000), Se at (0.000, 0.239, 0.500), Se at (0.111, 0.500, 0.848) and O at (0.182, 0.000, 0.633).

=====

[16]
Computed, not measured: a relaxed Nd4Se5O crystal at the PBE-GGA level of DFT.

The total magnetization comes out at 0.00 μB/cell. For the total energy, the calculation gives -6.083 eV per atom. The calculation puts the uncorrected formation energy at -1937 meV per atom.

The space group is Immm (No. 71) and the conventional cell measures 3.950, 7.696 and 18.400 Å, with angles of 90.00, 90.00 and 90.00 degrees. The inequivalent atoms are Nd at (0.000, 0.000, 0.219), Nd at (0.000, 0.281, 0.500), Se at (0.000, 0.254, 0.340), Se at (0.000, 0.500, 0.000) and O at (0.000, 0.000, 0.000).

=====

[17]
Computed, not measured: a relaxed Nd3Se3O crystal at the PBE-GGA level of DFT.

The total magnetization comes out at 0.00 μB/cell. For the total energy, the calculation gives -6.479 eV per atom. The calculation puts the uncorrected formation energy at -2234 meV per atom.

The space group is Pnma (No. 62) and the conventional cell measures 12.248, 4.129 and 13.405 Å, with angles of 90.00, 90.00 and 90.00 degrees. The inequivalent atoms are Nd at (0.024, 0.250, 0.160), Nd at (0.103, 0.250, 0.613), Nd at (0.239, 0.250, 0.870), Se at (0.073, 0.250, 0.389), Se at (0.144, 0.750, 0.010), Se at (0.236, 0.750, 0.709) and O at (0.056, 0.250, 0.799).

=====

[18]
Computed, not measured: a relaxed NdSmSe2O crystal at the PBE-GGA level of DFT.

The total magnetization comes out at 0.00 μB/cell. For the total energy, the calculation gives -6.658 eV per atom. The calculation puts the uncorrected formation energy at -2376 meV per atom.

The space group is P4/nmm (No. 129, origin choice 2) and the conventional cell measures 4.092, 4.092 and 14.852 Å, with angles of 90.00, 90.00 and 90.00 degrees. The inequivalent atoms are Nd at (0.250, 0.250, 0.079), Sm at (0.250, 0.250, 0.628), Se at (0.250, 0.250, 0.411), Se at (0.250, 0.250, 0.809) and O at (0.250, 0.750, 0.000).